Computed, not measured: Sn3SbTe after structural relaxation at the GGA-PBE level of DFT.

Unit cell a=9.407 b=9.407 c=9.577 alpha=101.42 beta=101.42 gamma=119.27
Positions (direct):
Sb (0.201, 0.452, 0.202)
Te (0.886, 0.114, 0.750)
Sn (0.065, 0.912, 0.582)
Sn (0.912, 0.065, 0.082)
Sb (0.548, 0.799, 0.298)
Sn (0.410, 0.958, 0.125)
Sn (0.935, 0.088, 0.418)
Sb (0.452, 0.201, 0.702)
Sn (0.958, 0.410, 0.625)
Sn (0.590, 0.042, 0.875)
Te (0.648, 0.352, 0.250)
Sb (0.799, 0.548, 0.798)
Te (0.352, 0.648, 0.750)
Sn (0.315, 0.379, 0.479)
Sn (0.685, 0.621, 0.521)
Sn (0.379, 0.315, 0.979)
Te (0.114, 0.886, 0.250)
Sn (0.042, 0.590, 0.375)
Sn (0.088, 0.935, 0.918)
Sn (0.621, 0.685, 0.021)

Calculated values
- VASP energy: -3.814 eV/atom
- Distance to the lowest polymorph of the same formula: 0 meV/atom
- Volume: 34.01 Å³ per atom
- Magnetization: 0.0 μB per formula unit
- ΔE_f (raw): 0.041 eV/atom


Computed, not measured: ScIF3 after structural relaxation at the GGA-PBE level of DFT.

Unit cell a=4.832 b=4.832 c=4.832 alpha=90.00 beta=90.00 gamma=90.00
Site moments in Bohr magnetons follow the coordinates.
Positions (direct):
Sc (0.500, 0.500, 0.500)  -1.02
F (0.000, 0.500, 0.000)  -0.01
F (0.500, 0.000, 0.000)  0.01
F (0.000, 0.000, 0.500)  0.00
I (0.000, 0.000, 0.000)  0.05

Calculated values
- VASP energy: -3.416 eV/atom
- Distance to the lowest polymorph of the same formula: 1875 meV/atom
- Volume: 22.57 Å³ per atom
- Magnetization: 1.2 μB per formula unit
- ΔE_f (raw): -0.717 eV/atom


Computed, not measured: LiTcNi after structural relaxation at the GGA-PBE level of DFT.

Unit cell a=4.433 b=4.786 c=4.624 alpha=58.83 beta=61.35 gamma=90.00
Positions (direct):
Ni (0.500, 0.000, 0.000)
Li (0.500, 0.000, 0.500)
Li (0.000, 0.000, 0.500)
Tc (0.131, 0.381, 0.737)
Tc (0.869, 0.619, 0.263)
Ni (0.500, 0.500, 0.000)

Calculated values
- VASP energy: -5.917 eV/atom
- Distance to the lowest polymorph of the same formula: 40 meV/atom
- Volume: 11.59 Å³ per atom
- Magnetization: 0.0 μB per formula unit
- Formation energy: 0.31 eV per formula unit


Computed, not measured: SrPaGaO5 after structural relaxation at the GGA-PBE level of DFT.

Unit cell a=6.065 b=6.065 c=7.991 alpha=103.70 beta=103.70 gamma=106.84
Positions (direct):
Pa (0.000, 0.000, 0.500)
O (0.899, 0.312, 0.118)
O (0.627, 0.743, 0.908)
O (0.312, 0.899, 0.618)
Sr (0.664, 0.336, 0.750)
O (0.688, 0.101, 0.382)
Pa (0.000, 0.000, 0.000)
O (0.743, 0.627, 0.408)
O (0.083, 0.917, 0.250)
O (0.101, 0.688, 0.882)
O (0.257, 0.373, 0.592)
Sr (0.336, 0.664, 0.250)
O (0.373, 0.257, 0.092)
O (0.917, 0.083, 0.750)
Ga (0.318, 0.682, 0.750)
Ga (0.682, 0.318, 0.250)

Calculated values
- VASP energy: -7.834 eV/atom
- Volume: 16.13 Å³ per atom
- Magnetization: 0.0 μB per formula unit
- ΔE_f (raw): -2.960 eV/atom